A plane-wave DFT calculation with PBE was carried out for a relaxed structure of BaNa2CeSe4.

Results
The value obtained for the volume is 239.38 Å³/cell. The calculation puts the uncorrected formation energy at -149 kJ/mol of atoms. For the total energy, the calculation gives -36.79 eV/cell.

a = 7.4061 Å, b = 4.4227 Å, c = 7.8260 Å
α = 90.00°, β = 110.96°, γ = 90.00°
Space group P2/m (No. 10)
Unique sites:
Ba 0.0000 0.0000 0.0000 [1 per cell]
Na 0.5000 0.0000 0.5000 [1 per cell]
Na 0.5000 0.5000 0.0000 [1 per cell]
Ce 0.0000 0.5000 0.5000 [1 per cell]
Se 0.2344 0.0000 0.7217 [2 per cell]
Se 0.2401 0.5000 0.2877 [2 per cell]